Entry 1:
VASP calculation (PBE) on a relaxed RbMnTl3 crystal.

formation enthalpy at 0 K = 1.2386 eV per atom
SG = Pm-3m, No. 221
density of states at the Fermi level = 6.82 states/eV/f.u.

Cell: 6.309 6.309 6.309 Å, 90.00 90.00 90.00°
Site moments in Bohr magnetons follow the coordinates.
Element x y z (fractional)
Tl 0.000 0.500 0.000  -0.07
Tl 0.000 0.000 0.500  -0.05
Tl 0.500 0.000 0.000  -0.04
Mn 0.500 0.500 0.500  4.46
Rb 0.000 0.000 0.000  -0.03


Entry 2:
VASP calculation (PBE) on a relaxed RbMnTl2 crystal.

formation enthalpy at 0 K = 0.4737 eV per atom
SG = Fm-3m, No. 225
density of states at the Fermi level = 2.01 states/eV/f.u.

Cell: 5.555 5.555 5.555 Å, 60.00 60.00 60.00°
Site moments in Bohr magnetons follow the coordinates.
Element x y z (fractional)
Tl 0.250 0.250 0.250  -0.06
Tl 0.750 0.750 0.750  -0.06
Mn 0.000 0.000 0.000  4.16
Rb 0.500 0.500 0.500  -0.02


Entry 3:
VASP calculation (PBE) on a relaxed RbMnTl3 crystal.

formation enthalpy at 0 K = 0.1710 eV per atom
SG = Pm-3m, No. 221
density of states at the Fermi level = 2.82 states/eV/f.u.

Cell: 5.337 5.337 5.337 Å, 90.00 90.00 90.00°
Site moments in Bohr magnetons follow the coordinates.
Element x y z (fractional)
Tl 0.000 0.500 0.000  -0.10
Tl 0.000 0.000 0.500  -0.06
Tl 0.500 0.000 0.000  -0.13
Mn 0.000 0.000 0.000  2.15
Rb 0.500 0.500 0.500  -0.03


Entry 4:
VASP calculation (PBE) on a relaxed RbMnTl2 crystal.

formation enthalpy at 0 K = 0.4531 eV per atom
SG = I4_1/amd, No. 141
density of states at the Fermi level = 3.92 states/eV/f.u.

Cell: 6.167 6.167 10.009 Å, 72.06 72.06 90.00°
Site moments in Bohr magnetons follow the coordinates.
Element x y z (fractional)
Tl 0.375 0.125 0.250  -0.08
Tl 0.375 0.625 0.250  -0.08
Tl 0.375 0.625 0.750  -0.12
Tl 0.875 0.625 0.750  -0.11
Mn 0.500 0.500 0.000  3.68
Mn 0.250 0.750 0.500  3.69
Rb 0.000 0.000 0.000  -0.01
Rb 0.750 0.250 0.500  -0.01


Entry 5:
VASP calculation (PBE) on a relaxed Rb2MnTlV crystal.

formation enthalpy at 0 K = 1.2205 eV per atom
SG = P4/mmm, No. 123
density of states at the Fermi level = 6.32 states/eV/f.u.

Cell: 6.636 5.425 6.636 Å, 90.00 90.00 90.00°
Site moments in Bohr magnetons follow the coordinates.
Element x y z (fractional)
Tl 0.000 0.500 0.000  0.07
Mn 0.500 0.500 0.500  4.37
Rb 0.000 0.000 0.500  0.03
Rb 0.500 0.000 0.000  0.03
V 0.000 0.000 0.000  3.10


Entry 6:
VASP calculation (PBE) on a relaxed Rb2MnTlV crystal.

formation enthalpy at 0 K = 1.1414 eV per atom
SG = P4/mmm, No. 123
density of states at the Fermi level = 6.83 states/eV/f.u.

Cell: 6.896 3.993 6.896 Å, 90.00 90.00 90.00°
Site moments in Bohr magnetons follow the coordinates.
Element x y z (fractional)
Tl 0.500 0.500 0.500  0.02
Mn 0.000 0.000 0.000  -0.10
Rb 0.000 0.000 0.500  0.00
Rb 0.500 0.000 0.000  0.00
V 0.000 0.500 0.000  0.05


Entry 7:
VASP calculation (PBE) on a relaxed RbMnV2 crystal.

formation enthalpy at 0 K = 1.5023 eV per atom
SG = Fm-3m, No. 225
density of states at the Fermi level = 5.19 states/eV/f.u.

Cell: 4.901 4.901 4.901 Å, 60.00 60.00 60.00°
Site moments in Bohr magnetons follow the coordinates.
Element x y z (fractional)
Mn 0.000 0.000 0.000  3.46
Rb 0.500 0.500 0.500  -0.11
V 0.250 0.250 0.250  -2.73
V 0.750 0.750 0.750  -2.73


Entry 8:
VASP calculation (PBE) on a relaxed RbMnV3 crystal.

formation enthalpy at 0 K = 1.2338 eV per atom
SG = Pm-3m, No. 221
density of states at the Fermi level = 10.95 states/eV/f.u.

Cell: 4.755 4.755 4.755 Å, 90.00 90.00 90.00°
Site moments in Bohr magnetons follow the coordinates.
Element x y z (fractional)
Mn 0.000 0.000 0.000  -1.75
Rb 0.500 0.500 0.500  0.10
V 0.000 0.500 0.000  2.18
V 0.000 0.000 0.500  2.18
V 0.500 0.000 0.000  2.18


Entry 9:
VASP calculation (PBE) on a relaxed Rb3MnV crystal.

formation enthalpy at 0 K = 1.3872 eV per atom
SG = Pm-3m, No. 221
density of states at the Fermi level = 8.06 states/eV/f.u.

Cell: 6.838 6.838 6.838 Å, 90.00 90.00 90.00°
Site moments in Bohr magnetons follow the coordinates.
Element x y z (fractional)
Mn 0.500 0.500 0.500  4.35
Rb 0.000 0.500 0.000  -0.04
Rb 0.000 0.000 0.500  -0.04
Rb 0.500 0.000 0.000  -0.04
V 0.000 0.000 0.000  -3.33


Entry 10:
VASP calculation (PBE) on a relaxed RbMnV3 crystal.

formation enthalpy at 0 K = 2.6347 eV per atom
SG = Pm-3m, No. 221
density of states at the Fermi level = 2.94 states/eV/f.u.

Cell: 4.494 4.494 4.494 Å, 90.00 90.00 90.00°
Site moments in Bohr magnetons follow the coordinates.
Element x y z (fractional)
Mn 0.500 0.500 0.500  4.05
Rb 0.000 0.000 0.000  0.03
V 0.000 0.500 0.000  0.14
V 0.000 0.000 0.500  0.14
V 0.500 0.000 0.000  0.14


Entry 11:
VASP calculation (PBE) on a relaxed RbMnV2 crystal.

formation enthalpy at 0 K = 1.3896 eV per atom
SG = I4_1/amd, No. 141
density of states at the Fermi level = 7.58 states/eV/f.u.

Cell: 7.104 7.104 6.952 Å, 59.27 59.27 90.00°
Site moments in Bohr magnetons follow the coordinates.
Element x y z (fractional)
Mn 0.500 0.500 0.000  -1.32
Mn 0.250 0.750 0.500  -1.32
Rb 0.000 0.000 0.000  0.03
Rb 0.750 0.250 0.500  0.03
V 0.375 0.125 0.250  2.08
V 0.375 0.625 0.250  2.08
V 0.375 0.625 0.750  2.08
V 0.875 0.625 0.750  2.08


Entry 12:
VASP calculation (PBE) on a relaxed RbMnW3 crystal.

formation enthalpy at 0 K = 1.9798 eV per atom
SG = Pm-3m, No. 221
density of states at the Fermi level = 4.56 states/eV/f.u.

Cell: 4.684 4.684 4.684 Å, 90.00 90.00 90.00°
Element x y z (fractional)
Mn 0.000 0.000 0.000
Rb 0.500 0.500 0.500
W 0.000 0.500 0.000
W 0.000 0.000 0.500
W 0.500 0.000 0.000


Entry 13:
VASP calculation (PBE) on a relaxed RbMn2W crystal.

formation enthalpy at 0 K = 1.5104 eV per atom
SG = I4_1/amd, No. 141
density of states at the Fermi level = 2.68 states/eV/f.u.

Cell: 5.507 5.507 8.830 Å, 71.83 71.83 90.00°
Site moments in Bohr magnetons follow the coordinates.
Element x y z (fractional)
Mn 0.875 0.125 0.250  3.17
Mn 0.875 0.625 0.250  3.16
Mn 0.375 0.125 0.750  3.19
Mn 0.875 0.125 0.750  3.18
Rb 0.500 0.500 0.000  0.00
Rb 0.250 0.750 0.500  0.00
W 0.000 0.000 0.000  -1.41
W 0.750 0.250 0.500  -1.41


Entry 14:
VASP calculation (PBE) on a relaxed RbMn2W crystal.

formation enthalpy at 0 K = 1.9852 eV per atom
SG = Fm-3m, No. 225
density of states at the Fermi level = 6.86 states/eV/f.u.

Cell: 4.512 4.512 4.512 Å, 60.00 60.00 60.00°
Element x y z (fractional)
Mn 0.250 0.250 0.250
Mn 0.750 0.750 0.750
Rb 0.000 0.000 0.000
W 0.500 0.500 0.500


Entry 15:
VASP calculation (PBE) on a relaxed RbMnW3 crystal.

formation enthalpy at 0 K = 4.2531 eV per atom
SG = Pm-3m, No. 221
density of states at the Fermi level = 9.07 states/eV/f.u.

Cell: 4.616 4.616 4.616 Å, 90.00 90.00 90.00°
Site moments in Bohr magnetons follow the coordinates.
Element x y z (fractional)
Mn 0.500 0.500 0.500  0.25
Rb 0.000 0.000 0.000  0.00
W 0.000 0.500 0.000  0.00
W 0.000 0.000 0.500  0.00
W 0.500 0.000 0.000  -0.05


Entry 16:
VASP calculation (PBE) on a relaxed RbY2Mn crystal.

formation enthalpy at 0 K = 0.7830 eV per atom
SG = Fm-3m, No. 225
density of states at the Fermi level = 4.06 states/eV/f.u.

Cell: 5.553 5.553 5.553 Å, 60.00 60.00 60.00°
Site moments in Bohr magnetons follow the coordinates.
Element x y z (fractional)
Y 0.250 0.250 0.250  -0.18
Y 0.750 0.750 0.750  -0.18
Mn 0.000 0.000 0.000  3.93
Rb 0.500 0.500 0.500  -0.03


Entry 17:
VASP calculation (PBE) on a relaxed RbY2Mn2 crystal.

formation enthalpy at 0 K = 0.7500 eV per atom
SG = I4/mmm, No. 139
density of states at the Fermi level = 5.45 states/eV/f.u.

Cell: 4.914 4.914 7.539 Å, 70.98 70.98 90.00°
Site moments in Bohr magnetons follow the coordinates.
Element x y z (fractional)
Y 0.750 0.250 0.500  -0.41
Y 0.250 0.750 0.500  -0.41
Mn 0.388 0.388 0.224  3.72
Mn 0.612 0.612 0.776  3.72
Rb 0.000 0.000 0.000  -0.02


Entry 18:
VASP calculation (PBE) on a relaxed RbY2Mn2 crystal.

formation enthalpy at 0 K = 0.5698 eV per atom
SG = P4/mbm, No. 127
density of states at the Fermi level = 6.93 states/eV/f.u.

Cell: 8.919 8.919 3.538 Å, 90.00 90.00 90.00°
Site moments in Bohr magnetons follow the coordinates.
Element x y z (fractional)
Y 0.157 0.657 0.500  -0.33
Y 0.657 0.843 0.500  -0.34
Y 0.843 0.343 0.500  -0.33
Y 0.343 0.157 0.500  -0.34
Mn 0.389 0.889 0.000  3.46
Mn 0.889 0.611 0.000  3.47
Mn 0.611 0.111 0.000  3.46
Mn 0.111 0.389 0.000  3.47
Rb 0.000 0.000 0.000  -0.04
Rb 0.500 0.500 0.000  -0.04


Entry 19:
VASP calculation (PBE) on a relaxed RbY2Mn crystal.

formation enthalpy at 0 K = 0.7367 eV per atom
SG = Fd-3m, No. 227
density of states at the Fermi level = 0.11 states/eV/f.u.

Cell: 7.860 7.860 7.861 Å, 60.00 60.00 90.00°
Element x y z (fractional)
Y 0.375 0.125 0.250
Y 0.375 0.625 0.250
Y 0.375 0.625 0.750
Y 0.875 0.625 0.750
Mn 0.500 0.500 0.000
Mn 0.250 0.750 0.500
Rb 0.000 0.000 0.000
Rb 0.750 0.250 0.500


Entry 20:
VASP calculation (PBE) on a relaxed Rb3YMn crystal.

formation enthalpy at 0 K = 1.4012 eV per atom
SG = Pm-3m, No. 221
density of states at the Fermi level = 57.90 states/eV/f.u.

Cell: 7.579 7.579 7.579 Å, 90.00 90.00 90.00°
Site moments in Bohr magnetons follow the coordinates.
Element x y z (fractional)
Y 0.000 0.000 0.000  0.91
Mn 0.500 0.500 0.500  4.47
Rb 0.000 0.500 0.000  0.04
Rb 0.000 0.000 0.500  0.04
Rb 0.500 0.000 0.000  0.04